# RuWIO2 | the Alexandria database | PBE with a Hubbard U | relaxed
data_RuWIO2
_cell_length_a 3.8640
_cell_length_b 3.8640
_cell_length_c 7.7257
_cell_angle_alpha 90.00
_cell_angle_beta 90.00
_cell_angle_gamma 90.00
_space_group_name_H-M_alt 'P 4/m m m'
_space_group_IT_number 123
_space_group_name_Hall '-P 4 2'
loop_
_atom_site_label
_atom_site_type_symbol
_atom_site_fract_x
_atom_site_fract_y
_atom_site_fract_z
Ru1 Ru 0.0000 0.0000 0.0000
W1 W 0.5000 0.5000 0.5000
I1 I 0.5000 0.5000 0.0000
O1 O 0.0000 0.5000 0.5000
# Magnetic moment (Bohr magnetons per cell): 3.5
# Calculated density (Mg/m³): 6.39
# Total DFT energy (no corrections) (Ha/atom): -0.2156
# Excess energy over the best structure of this formula in the dataset (meV/atom): 0.0
# Crystal system: tetragonal
# Fermi-level density of states (states/eV per atom): 0.894